P.
DFT (GGA-PBE) results for a relaxed structure of TbZrGa.

Output
symmetry: P3m1 (156)
crystal system: trigonal
V: 72.6 Å³/cell
D(E_F): 2.71 states/eV per cell

Cell lengths 3.660, 4.787, 4.787 Å; angles 120.00, 90.00, 90.00 degrees
Element x y z (fractional)
Ga  0.170  0.333  0.667
Zr  0.165  0.000  0.000
Tb  0.666  0.667  0.333

Q.
DFT (GGA-PBE) results for a relaxed structure of TbZrGa.

Output
symmetry: I4mm (107)
crystal system: tetragonal
V: 70.0 Å³/cell
D(E_F): 3.41 states/eV per cell

Cell lengths 3.334, 3.334, 6.719 Å; angles 104.37, 104.37, 90.00 degrees
Element x y z (fractional)
Tb  0.009  0.009  0.019
Zr  0.317  0.317  0.633
Ga  0.674  0.674  0.348

R.
DFT (GGA-PBE) results for a relaxed structure of TbZrGa.

Output
symmetry: P4/nmm (129)
crystal system: tetragonal
V: 143.9 Å³/cell
D(E_F): 4.98 states/eV per cell

Cell lengths 4.269, 4.269, 7.895 Å; angles 90.00, 90.00, 90.00 degrees
Element x y z (fractional)
Tb  0.500  0.000  0.151
Tb  0.000  0.500  0.849
Zr  0.000  0.000  0.500
Zr  0.500  0.500  0.500
Ga  0.500  0.000  0.758
Ga  0.000  0.500  0.242

It is R that is the most stable of them.